No. 1
DFT (GGA-PBE) results for an optimized crystal structure of LaRh3Cl.

DOS at the Fermi energy = 3.5 states/eV/cell
Excess energy over the best structure of this formula in the dataset = 0 meV/atom

abc: 4.5607 4.5607 4.5607
angles: 90.00 90.00 90.00
Space group Pm-3m (No. 221)
Unique sites:
La 0.0000 0.0000 0.0000 x1
Rh 0.0000 0.5000 0.5000 x3
Cl 0.5000 0.5000 0.5000 x1

=====

No. 2
DFT (GGA-PBE) results for an optimized crystal structure of LaRhCl2.

DOS at the Fermi energy = 13.3 states/eV/cell
Excess energy over the best structure of this formula in the dataset = 467 meV/atom

abc: 6.9247 6.9247 6.9247
angles: 90.00 90.00 90.00
Space group F-43m (No. 216)
Unique sites:
La 0.0000 0.0000 0.0000 x4
Rh 0.2500 0.2500 0.7500 x4
Cl 0.0000 0.0000 0.5000 x4
Cl 0.2500 0.2500 0.2500 x4

=====

No. 3
DFT (GGA-PBE) results for an optimized crystal structure of LaRhCl.

DOS at the Fermi energy = 3.1 states/eV/cell

abc: 4.4557 4.4557 3.6653
angles: 90.00 90.00 120.00
Space group P-6m2 (No. 187)
Unique sites:
La 0.0000 0.0000 0.0000 x1
Rh 0.6667 0.3333 0.5000 x1
Cl 0.3333 0.6667 0.5000 x1

=====

No. 4
DFT (GGA-PBE) results for an optimized crystal structure of LaRhCl3.

DOS at the Fermi energy = 26.6 states/eV/cell
Excess energy over the best structure of this formula in the dataset = 78 meV/atom

abc: 5.5241 5.5241 5.5241
angles: 90.00 90.00 90.00
Space group Pm-3m (No. 221)
Unique sites:
La 0.0000 0.0000 0.0000 x1
Rh 0.5000 0.5000 0.5000 x1
Cl 0.0000 0.0000 0.5000 x3

=====

No. 5
DFT (GGA-PBE) results for an optimized crystal structure of LaRhCl2.

Excess energy over the best structure of this formula in the dataset = 81 meV/atom

abc: 4.2087 4.2087 20.8833
angles: 90.00 90.00 120.00
Space group R3m (No. 160, hexagonal axes)
Unique sites:
La 0.0000 0.0000 0.0000 x3
Rh 0.0000 0.0000 0.7358 x3
Cl 0.0000 0.0000 0.2493 x3
Cl 0.0000 0.0000 0.4286 x3

=====

No. 6
DFT (GGA-PBE) results for an optimized crystal structure of LaRhCl.

DOS at the Fermi energy = 3.6 states/eV/cell

abc: 3.5052 3.5052 11.4293
angles: 90.00 90.00 90.00
Space group I4mm (No. 107)
Unique sites:
La 0.0000 0.0000 0.0000 x2
Rh 0.0000 0.0000 0.3642 x2
Cl 0.0000 0.0000 0.6699 x2

=====

These records have mass density values of 8.46, 6.26, 7.31, 3.43, 4.86, 6.56 Mg/m³, in the order they appear.
These records have energy relative to the elements, uncorrected values of -0.05, -3.58, -2.48, -3.97, -5.13, -2.36 eV per formula unit, in the order they appear.